A plane-wave DFT calculation with PBE-GGA was carried out for an optimized crystal structure of Ca4Np3CoN8.

Cell: 6.786 6.877 6.788 Å, 119.57 119.99 90.00°
Site moments in Bohr magnetons follow the coordinates.
Fractional positions:
Ca (0.500, 0.000, 0.000)  0.02
Ca (0.500, 0.000, 0.500)  0.00
Ca (0.000, 0.000, 0.000)  0.00
Ca (0.000, 0.000, 0.500)  0.00
N (0.741, 0.722, 0.481)  -0.09
N (0.752, 0.285, 0.504)  -0.08
N (0.719, 0.715, 0.967)  -0.08
N (0.752, 0.285, 0.033)  -0.08
N (0.281, 0.285, 0.033)  -0.08
N (0.259, 0.278, 0.519)  -0.09
N (0.248, 0.715, 0.967)  -0.08
N (0.248, 0.715, 0.496)  -0.08
Np (0.500, 0.500, 0.500)  2.23
Np (0.500, 0.500, 0.000)  2.23
Np (0.000, 0.500, 0.500)  2.23
Co (0.000, 0.500, 0.000)  1.76

Summary:
The raw formation energy comes out at -15.1 eV per formula unit. Its space group is R-3m, No. 166.



A plane-wave DFT calculation with PBE-GGA was carried out for an optimized crystal structure of LaTiAs2.

Cell: 3.989 3.989 6.976 Å, 73.39 73.39 60.00°
Fractional positions:
As (0.265, 0.265, 0.206)
As (0.735, 0.735, 0.794)
La (0.500, 0.500, 0.500)
Ti (0.000, 0.000, 0.000)

Summary:
The calculation puts the relative energy among the computed polymorphs at 0 meV per atom. Its space group is R-3m, No. 166. The value obtained for the energy relative to the elements is -1.14 eV per atom.



A plane-wave DFT calculation with PBE-GGA was carried out for an optimized crystal structure of LaIn.

Cell: 5.132 5.132 5.132 Å, 60.00 60.00 60.00°
Fractional positions:
In (0.000, 0.000, 0.000)
La (0.750, 0.750, 0.750)

Summary:
Its space group is F-43m, No. 216. The value obtained for the energy relative to the elements is 0.52 eV per atom.



A plane-wave DFT calculation with PBE-GGA was carried out for an optimized crystal structure of PuHf3Sb2.

Cell: 3.719 10.726 10.232 Å, 132.66 90.00 99.98°
Site moments in Bohr magnetons follow the coordinates.
Fractional positions:
Sb (0.247, 0.495, 0.812)  -0.03
Sb (0.493, 0.985, 0.808)  -0.05
Sb (0.507, 0.015, 0.192)  -0.05
Sb (0.753, 0.505, 0.188)  -0.03
Hf (0.627, 0.254, 0.785)  -0.01
Hf (0.695, 0.391, 0.524)  0.06
Hf (0.946, 0.892, 0.539)  -0.06
Hf (0.373, 0.746, 0.215)  -0.01
Hf (0.305, 0.609, 0.476)  0.06
Hf (0.054, 0.108, 0.461)  -0.06
Pu (0.112, 0.224, 0.144)  5.41
Pu (0.888, 0.776, 0.856)  5.41

Summary:
The raw formation energy comes out at -2.0 eV per formula unit. Its space group is C2/m, No. 12.



A plane-wave DFT calculation with PBE-GGA was carried out for an optimized crystal structure of TaAl3Tl.

Cell: 5.155 5.155 5.155 Å, 90.00 90.00 90.00°
Fractional positions:
Al (0.000, 0.000, 0.500)
Al (0.000, 0.500, 0.000)
Al (0.500, 0.000, 0.000)
Ta (0.000, 0.000, 0.000)
Tl (0.500, 0.500, 0.500)

Summary:
The calculation puts the relative energy among the computed polymorphs at 0 meV per atom. Its space group is Pm-3m, No. 221. The value obtained for the energy relative to the elements is 0.71 eV per atom.



A plane-wave DFT calculation with PBE-GGA was carried out for an optimized crystal structure of LaSnNO2.

Cell: 4.507 4.507 4.470 Å, 90.00 90.00 90.00°
Site moments in Bohr magnetons follow the coordinates.
Fractional positions:
N (0.000, 0.000, 0.500)  0.19
Sn (0.500, 0.500, 0.500)  -0.01
O (0.000, 0.500, 0.000)  0.07
O (0.500, 0.000, 0.000)  0.07
La (0.000, 0.000, 0.000)  0.00

Summary:
The raw formation energy comes out at -3.0 eV per formula unit. Its space group is P4/mmm, No. 123.



| no. | total DFT energy (no corrections) (eV for the cell shown) | magnetic moment (μB/atom) |
| --- | --- | --- |
| 1 | -135.655 | 0.4936 |
| 2 | -26.694 | 0.0018 |
| 3 | -6.633 | 0.0008 |
| 4 | -108.777 | 0.9433 |
| 5 | -21.898 | 0.0000 |
| 6 | -30.162 | 0.0794 |